Compound: CdCu2Au
Source: Alexandria via LeMat-Bulk
Functional: PBE-GGA
Structure: relaxed

Values from the calculation:
For the volume, the calculation gives 63.00 Å³ per cell. Its magnetic moment is 0.0 Bohr magnetons per cell. Its formation energy from the elements is -0.007 eV/atom. The space group is P2/m.

a = 3.557 Å, b = 3.013 Å, c = 6.610 Å
α = 62.79°, β = 90.00°, γ = 90.00°
Fractional coordinates of all 4 atoms:
Au 0.500 0.250 0.250
Cu 0.000 0.988 0.012
Cu 0.000 0.512 0.488
Cd 0.500 0.750 0.750